## InNiSe2 (PBEsol)

Data for a geometry-optimized InNiSe2 structure. Values from VASP.

M_tot = 0.02 Bohr magnetons per cell
SG = Cmmm (65)
formation energy (no corrections) = 0.249 eV per atom

Quantum ESPRESSO input file:
```
&SYSTEM
  ibrav = 0, nat = 4, ntyp = 3
/
ATOMIC_SPECIES
In 114.82 In.upf
Ni 58.69 Ni.upf
Se 78.96 Se.upf
ATOMIC_POSITIONS angstrom
In -1.161 -1.379 0.043
Ni -0.991 -1.434 2.856
Se 1.477 -1.203 1.299
Se -1.307 1.147 1.514
CELL_PARAMETERS angstrom
-2.322 -2.758 0.086
2.954 -2.406 2.598
-2.614 2.295 3.028
```